Entry 1:
Below is crystalline AgSe2 at its relaxed geometry, with properties calculated at the PBEsol level.

Computed properties:
Energy relative to the elements, uncorrected, eV/atom: -0.04
ρ, g/cm³: 6.54
Total moment, μB/f.u.: 0.00

Cell lengths 5.189, 6.484, 4.011 Å; angles 90.00, 90.00, 90.00 degrees
Space group Pnnm (No. 58)
Unique sites:
Ag 0.000 0.000 0.000 (multiplicity 2)
Se 0.179 0.392 0.000 (multiplicity 4)

Entry 2:
Below is crystalline Ag3Se at its relaxed geometry, with properties calculated at the PBEsol level.

Computed properties:
Energy relative to the elements, uncorrected, eV/atom: 0.12
ρ, g/cm³: 9.51
Total moment, μB/f.u.: 0.00

Cell lengths 5.709, 8.634, 2.852 Å; angles 90.00, 90.00, 90.00 degrees
Space group Cmmm (No. 65)
Unique sites:
Ag 0.000 0.000 0.000 (multiplicity 2)
Ag 0.250 0.250 0.500 (multiplicity 4)
Se 0.000 0.500 0.000 (multiplicity 2)